A relaxed TlCu3Br8 crystal. Source: Alexandria via LeMat-Bulk, functional GGA-PBE.

Results
Space group = No. 8
M_tot = 0.8 μB per formula unit
Fermi-level density of states = 12.3 states/eV/cell
Formation energy (no corrections) = -3.78 eV per formula unit
Uncorrected energy = -31.816 eV per cell
Mass density = 4.1 g/cm3

Unit cell a=3.943 b=11.771 c=10.404 alpha=118.17 beta=100.92 gamma=90.00
Fractional positions:
Br1 0.365 0.008 0.731
Br2 0.776 0.660 0.552
Br3 0.439 0.628 0.878
Br4 0.214 0.239 0.428
Br5 0.905 0.307 0.810
Br6 0.578 0.332 0.157
Br7 0.544 0.972 0.088
Br8 0.136 0.785 0.272
Cu1 0.642 0.208 0.284
Cu2 0.571 0.789 0.141
Cu3 0.447 0.248 0.894
Tl1 0.381 0.794 0.761

=====

A relaxed TlCu2Br3 crystal. Source: Alexandria via LeMat-Bulk, functional GGA-PBE.

Results
Space group = No. 11
M_tot = 0.0 μB per formula unit
Energy above the lowest structure with this stoichiometry = 27 meV/atom
Formation energy (no corrections) = -2.46 eV per formula unit
Uncorrected energy = -36.068 eV per cell
Mass density = 5.2 g/cm3

Unit cell a=4.094 b=7.038 c=12.754 alpha=100.27 beta=90.00 gamma=90.00
Fractional positions:
Cu1 0.750 0.525 0.563
Cu2 0.250 0.475 0.437
Cu3 0.750 0.098 0.845
Cu4 0.250 0.902 0.155
Br1 0.750 0.877 0.682
Br2 0.250 0.225 0.928
Br3 0.750 0.635 0.386
Br4 0.250 0.123 0.318
Br5 0.250 0.365 0.614
Br6 0.750 0.775 0.072
Tl1 0.750 0.299 0.169
Tl2 0.250 0.701 0.831

=====

A relaxed Tl3CuBr4 crystal. Source: Alexandria via LeMat-Bulk, functional GGA-PBE.

Results
Space group = No. 59
M_tot = 0.1 μB per formula unit
Energy above the lowest structure with this stoichiometry = 0 meV/atom
Fermi-level density of states = 0.0 states/eV/cell
Formation energy (no corrections) = -5.47 eV per formula unit
Uncorrected energy = -46.714 eV per cell
Mass density = 5.9 g/cm3

Unit cell a=4.491 b=10.394 c=11.988 alpha=90.00 beta=90.00 gamma=90.00
Fractional positions:
Br1 0.064 0.218 0.177
Br2 0.064 0.537 0.500
Br3 0.564 0.463 0.000
Br4 0.564 0.782 0.323
Br5 0.564 0.782 0.677
Br6 0.064 0.839 0.000
Br7 0.064 0.218 0.823
Br8 0.564 0.161 0.500
Cu1 0.565 0.666 0.500
Cu2 0.065 0.334 0.000
Tl1 0.064 0.930 0.500
Tl2 0.564 0.370 0.320
Tl3 0.564 0.070 0.000
Tl4 0.564 0.370 0.680
Tl5 0.064 0.630 0.820
Tl6 0.064 0.630 0.180

=====

A relaxed Tl5CuBr8 crystal. Source: Alexandria via LeMat-Bulk, functional GGA-PBE.

Results
Space group = No. 82
M_tot = 0.1 μB per formula unit
Fermi-level density of states = 8.6 states/eV/cell
Formation energy (no corrections) = -8.80 eV per formula unit
Uncorrected energy = -38.109 eV per cell
Mass density = 5.6 g/cm3

Unit cell a=8.733 b=8.733 c=8.733 alpha=112.86 beta=102.89 gamma=112.86
Fractional positions:
Br1 0.526 0.782 0.830
Br2 0.170 0.696 0.952
Br3 0.098 0.776 0.483
Br4 0.048 0.218 0.744
Br5 0.256 0.304 0.474
Br6 0.707 0.224 0.322
Br7 0.678 0.385 0.902
Br8 0.517 0.615 0.293
Tl1 0.773 0.615 0.622
Tl2 0.842 0.849 0.227
Tl3 0.008 0.385 0.158
Tl4 0.378 0.151 0.992
Tl5 0.500 0.000 0.500
Cu1 0.250 0.500 0.750

=====

A relaxed Tl2CuBr crystal. Source: Alexandria via LeMat-Bulk, functional GGA-PBE.

Results
Space group = No. 71
M_tot = 0.0 μB per formula unit
Energy above the lowest structure with this stoichiometry = 119 meV/atom
Fermi-level density of states = 0.8 states/eV/cell
Formation energy (no corrections) = 0.09 eV per formula unit
Uncorrected energy = -10.407 eV per cell
Mass density = 8.0 g/cm3

Unit cell a=5.567 b=5.567 c=5.567 alpha=129.12 beta=116.19 gamma=85.85
Fractional positions:
Br1 0.750 0.250 0.500
Tl1 0.035 0.035 0.000
Tl2 0.465 0.465 0.000
Cu1 0.250 0.750 0.500

=====

A relaxed TlCuBr3 crystal. Source: Alexandria via LeMat-Bulk, functional GGA-PBE.

Results
Space group = No. 14
M_tot = 0.0 μB per formula unit
Formation energy (no corrections) = -2.48 eV per formula unit
Uncorrected energy = -55.844 eV per cell
Mass density = 5.1 g/cm3

Unit cell a=6.868 b=9.544 c=10.102 alpha=90.00 beta=81.81 gamma=90.00
Fractional positions:
Br1 0.719 0.391 0.035
Br2 0.281 0.108 0.967
Br3 0.719 0.608 0.533
Br4 0.281 0.609 0.965
Br5 0.281 0.392 0.467
Br6 0.999 0.768 0.749
Br7 0.719 0.892 0.033
Br8 0.001 0.232 0.251
Br9 0.001 0.268 0.751
Br10 0.281 0.891 0.465
Br11 0.719 0.109 0.535
Br12 0.999 0.732 0.249
Tl1 0.500 0.849 0.749
Tl2 0.500 0.651 0.249
Tl3 0.500 0.151 0.251
Tl4 0.500 0.349 0.751
Cu1 0.000 0.750 0.499
Cu2 0.000 0.750 0.999
Cu3 0.000 0.250 0.001
Cu4 0.000 0.250 0.501